Computed, not measured: a relaxed TlIr2Pb crystal at the PBE-GGA level of DFT.

a = 4.680 Å, b = 4.680 Å, c = 5.604 Å
α = 78.28°, β = 78.28°, γ = 40.69°
Positions (direct):
Pb (0.750, 0.750, 0.750)
Tl (0.250, 0.250, 0.250)
Ir (0.999, 0.999, 0.998)
Ir (0.501, 0.501, 0.502)

Summary:
DFT total energy: -5.317 eV per atom
energy of formation from the pure elements: 632 meV/atom
relative energy among the computed polymorphs: 223 meV/atom